(1)
# PrB4 (PBEsol, relaxed)
# Symmetry = P4/mbm
# Formation energy = -0.5918 eV/atom
# Total magnetic moment = 0.0 μB per formula unit
data_PrB4
_space_group_name_H-M_alt 'P 1'
_space_group_IT_number 1
_cell_length_a 7.225
_cell_length_b 7.225
_cell_length_c 4.112
_cell_angle_alpha 90.00
_cell_angle_beta 90.00
_cell_angle_gamma 90.00
loop_
_space_group_symop_operation_xyz
'x,y,z'
loop_
_atom_site_label
_atom_site_fract_x
_atom_site_fract_y
_atom_site_fract_z
Pr1 0.184 0.316 0.000
Pr2 0.316 0.816 0.000
Pr3 0.684 0.184 0.000
Pr4 0.816 0.684 0.000
B1 0.000 0.000 0.205
B2 0.000 0.000 0.795
B3 0.039 0.826 0.500
B4 0.088 0.588 0.500
B5 0.174 0.039 0.500
B6 0.326 0.539 0.500
B7 0.412 0.088 0.500
B8 0.461 0.326 0.500
B9 0.500 0.500 0.205
B10 0.500 0.500 0.795
B11 0.539 0.674 0.500
B12 0.588 0.912 0.500
B13 0.674 0.461 0.500
B14 0.826 0.961 0.500
B15 0.912 0.412 0.500
B16 0.961 0.174 0.500


(2)
# TiPdSe2 (PBEsol, relaxed)
# Symmetry = R-3m
# Total magnetic moment = 0.0 μB per formula unit
# Formation energy without anion corrections = -64 kJ/mol of atoms
data_TiPdSe2
_space_group_name_H-M_alt 'P 1'
_space_group_IT_number 1
_cell_length_a 8.198
_cell_length_b 8.198
_cell_length_c 8.198
_cell_angle_alpha 23.65
_cell_angle_beta 23.65
_cell_angle_gamma 23.65
loop_
_space_group_symop_operation_xyz
'x,y,z'
loop_
_atom_site_label
_atom_site_fract_x
_atom_site_fract_y
_atom_site_fract_z
Ti1 0.000 0.000 0.000
Pd1 0.500 0.500 0.500
Se1 0.400 0.400 0.400
Se2 0.600 0.600 0.600


(3)
# Ca2CuSi (PBEsol, relaxed)
# Symmetry = P4/mmm
# Total magnetic moment = 0.0 μB per formula unit
# Formation energy without anion corrections = -18 kJ/mol of atoms
data_Ca2CuSi
_space_group_name_H-M_alt 'P 1'
_space_group_IT_number 1
_cell_length_a 3.429
_cell_length_b 3.429
_cell_length_c 7.338
_cell_angle_alpha 90.00
_cell_angle_beta 90.00
_cell_angle_gamma 90.00
loop_
_space_group_symop_operation_xyz
'x,y,z'
loop_
_atom_site_label
_atom_site_fract_x
_atom_site_fract_y
_atom_site_fract_z
Ca1 0.000 0.000 0.247
Ca2 0.000 0.000 0.753
Cu1 0.500 0.500 0.000
Si1 0.500 0.500 0.500


(4)
# BeAs2Ir (PBEsol, relaxed)
# Symmetry = Immm
# Formation energy = -0.0294 eV/atom
# Total magnetic moment = 0.0 μB per formula unit
data_BeAs2Ir
_space_group_name_H-M_alt 'P 1'
_space_group_IT_number 1
_cell_length_a 6.243
_cell_length_b 6.243
_cell_length_c 6.243
_cell_angle_alpha 153.11
_cell_angle_beta 145.11
_cell_angle_gamma 44.59
loop_
_space_group_symop_operation_xyz
'x,y,z'
loop_
_atom_site_label
_atom_site_fract_x
_atom_site_fract_y
_atom_site_fract_z
Be1 0.000 0.000 0.000
As1 0.321 0.821 0.500
As2 0.679 0.179 0.500
Ir1 0.500 0.500 0.000


(5)
# Na2TiMn2 (PBEsol, relaxed)
# Symmetry = I4/mmm
# Formation energy = 0.8884 eV/atom
# Total magnetic moment = 0.0 μB per formula unit
data_Na2TiMn2
_space_group_name_H-M_alt 'P 1'
_space_group_IT_number 1
_cell_length_a 7.232
_cell_length_b 7.232
_cell_length_c 7.232
_cell_angle_alpha 151.82
_cell_angle_beta 151.82
_cell_angle_gamma 40.28
loop_
_space_group_symop_operation_xyz
'x,y,z'
loop_
_atom_site_label
_atom_site_fract_x
_atom_site_fract_y
_atom_site_fract_z
Na1 0.250 0.750 0.500
Na2 0.750 0.250 0.500
Ti1 0.000 0.000 0.000
Mn1 0.430 0.430 0.000
Mn2 0.570 0.570 0.000


(6)
# TiAs2SeBr (PBEsol, relaxed)
# Symmetry = P4/mmm
# Total magnetic moment = 1.3 μB per formula unit
# Polymorph energy (0 for the lowest one) = 827 meV per atom
# Formation energy without anion corrections = 77 kJ/mol of atoms
data_TiAs2SeBr
_space_group_name_H-M_alt 'P 1'
_space_group_IT_number 1
_cell_length_a 4.933
_cell_length_b 4.933
_cell_length_c 4.994
_cell_angle_alpha 90.00
_cell_angle_beta 90.00
_cell_angle_gamma 90.00
loop_
_space_group_symop_operation_xyz
'x,y,z'
loop_
_atom_site_label
_atom_site_fract_x
_atom_site_fract_y
_atom_site_fract_z
Ti1 0.000 0.000 0.000
As1 0.000 0.500 0.500
As2 0.500 0.000 0.500
Se1 0.500 0.500 0.500
Br1 0.500 0.500 0.000


(7)
# Cr3Mo5 (PBEsol, relaxed)
# Symmetry = Amm2
# Formation energy = 0.0939 eV/atom
# Total magnetic moment = 0.0 μB per formula unit
# Polymorph energy (0 for the lowest one) = 21 meV per atom
data_Cr3Mo5
_space_group_name_H-M_alt 'P 1'
_space_group_IT_number 1
_cell_length_a 6.048
_cell_length_b 6.049
_cell_length_c 6.049
_cell_angle_alpha 90.03
_cell_angle_beta 90.00
_cell_angle_gamma 90.00
loop_
_space_group_symop_operation_xyz
'x,y,z'
loop_
_atom_site_label
_atom_site_fract_x
_atom_site_fract_y
_atom_site_fract_z
Cr1 0.000 0.000 0.000
Cr2 0.000 0.488 0.997
Cr3 0.000 0.997 0.488
Cr4 0.244 0.243 0.243
Cr5 0.500 0.491 0.491
Cr6 0.756 0.243 0.243
Mo1 0.000 0.487 0.487
Mo2 0.245 0.243 0.744
Mo3 0.245 0.743 0.743
Mo4 0.245 0.744 0.243
Mo5 0.500 0.001 0.489
Mo6 0.500 0.489 0.001
Mo7 0.500 0.998 0.998
Mo8 0.755 0.243 0.744
Mo9 0.755 0.743 0.743
Mo10 0.755 0.744 0.243


(8)
# IBrOF2 (PBEsol, relaxed)
# Symmetry = P4/mmm
# Total magnetic moment = 1.4 μB per formula unit
# Formation energy without anion corrections = 6 kJ/mol of atoms
data_IBrOF2
_space_group_name_H-M_alt 'P 1'
_space_group_IT_number 1
_cell_length_a 4.882
_cell_length_b 4.882
_cell_length_c 3.619
_cell_angle_alpha 90.00
_cell_angle_beta 90.00
_cell_angle_gamma 90.00
loop_
_space_group_symop_operation_xyz
'x,y,z'
loop_
_atom_site_label
_atom_site_fract_x
_atom_site_fract_y
_atom_site_fract_z
I1 0.000 0.000 0.000
Br1 0.500 0.500 0.500
O1 0.500 0.500 0.000
F1 0.000 0.500 0.500
F2 0.500 0.000 0.500


Computed calculated total energy, in the same sequence as the records: -144.84; -24.64; -15.08; -24.15; -26.20; -20.26; -177.63; -12.44 eV for the cell shown.